# 1
Computed, not measured: a crystal of CaTl2Au2 relaxed with PBEsol at the meta-GGA SCAN level of DFT.

Lattice parameters (Å, degrees): 6.0127 6.0127 6.0127 128.98 128.98 75.04
Closest atoms and distances in Å follow each position.
Positions (direct):
Ca 0.0000 0.0000 0.0000  2 Tl 3.36, 8 Au 3.52
Tl 0.3527 0.3527 0.0000  4 Au 2.77, 1 Tl 2.81
Tl 0.6473 0.6473 0.0000  4 Au 2.77, 1 Tl 2.81
Au 0.2500 0.7500 0.5000  4 Tl 2.77
Au 0.7500 0.2500 0.5000  4 Tl 2.77

Computed properties:
DOS at the Fermi energy	0.378	states/eV/atom
calculated density	10.94	Mg/m³
total magnetic moment	0.00	μB/f.u.
total energy	-4.3237	Ry per atom
space group	I4/mmm
formation energy from the elements	-288	meV/atom

# 2
Computed, not measured: a crystal of Ca2TlAu relaxed with PBEsol at the meta-GGA SCAN level of DFT.

Lattice parameters (Å, degrees): 5.2023 5.2023 5.2023 60.00 60.00 60.00
Closest atoms and distances in Å follow each position.
Positions (direct):
Ca 0.2500 0.2500 0.2500  4 Tl 3.19, 4 Au 3.19
Ca 0.7500 0.7500 0.7500  4 Tl 3.19, 4 Au 3.19
Tl 0.0000 0.0000 0.0000  8 Ca 3.19
Au 0.5000 0.5000 0.5000  8 Ca 3.19

Computed properties:
DOS at the Fermi energy	0.458	states/eV/atom
calculated density	8.03	Mg/m³
total magnetic moment	0.00	μB/f.u.
total energy	-3.0101	Ry per atom
space group	Fm-3m
formation energy from the elements	-744	meV/atom

# 3
Computed, not measured: a crystal of CaTlAu relaxed with PBEsol at the meta-GGA SCAN level of DFT.

Lattice parameters (Å, degrees): 5.4886 5.4886 5.4886 139.34 139.34 58.86
Closest atoms and distances in Å follow each position.
Positions (direct):
Ca 0.0000 0.0000 0.0000  5 Tl 3.03-3.22, 5 Au 3.10-3.25
Tl 0.3167 0.3167 0.0000  5 Ca 3.03-3.22, 5 Au 3.08-3.28
Au 0.6602 0.6602 0.0000  5 Tl 3.08-3.28, 5 Ca 3.10-3.25

Computed properties:
DOS at the Fermi energy	0.270	states/eV/atom
calculated density	10.54	Mg/m³
total magnetic moment	0.00	μB/f.u.
total energy	-3.7479	Ry per atom
space group	I4mm
formation energy from the elements	-600	meV/atom

# 4
Computed, not measured: a crystal of CaWAu2 relaxed with PBEsol at the meta-GGA SCAN level of DFT.

Lattice parameters (Å, degrees): 2.8373 4.4315 5.9610 90.00 90.00 90.00
Closest atoms and distances in Å follow each position.
Positions (direct):
Ca 0.0000 0.0000 0.0000  2 Ca 2.84, 6 Au 2.89-3.08
W 0.5000 0.5000 0.3316  5 Au 2.72-2.78, 2 W 2.84
Au 0.0000 0.0000 0.4841  4 W 2.78, 2 Au 2.84, 2 Ca 2.89-3.08
Au 0.5000 0.5000 0.7886  1 W 2.72, 2 Au 2.84, 4 Ca 2.92

Computed properties:
DOS at the Fermi energy	0.584	states/eV/atom
calculated density	13.69	Mg/m³
E above lowest polymorph	37	meV/atom
total magnetic moment	0.61	μB/f.u.
total energy	-3.9797	Ry per atom
space group	Pmm2
formation energy from the elements	270	meV/atom

# 5
Computed, not measured: a crystal of CaW2Au relaxed with PBEsol at the meta-GGA SCAN level of DFT.

Lattice parameters (Å, degrees): 3.0639 4.5650 5.1168 90.00 90.00 90.00
Closest atoms and distances in Å follow each position.
Positions (direct):
Ca 0.0000 0.0000 0.0000  4 Au 2.75, 4 W 2.98, 2 Ca 3.06
W 0.0000 0.5000 0.5000  6 W 2.75-3.06, 4 Au 2.98
W 0.5000 0.0000 0.5000  6 W 2.75-3.06, 4 Ca 2.98
Au 0.5000 0.5000 0.0000  4 Ca 2.75, 4 W 2.98, 2 Au 3.06

Computed properties:
DOS at the Fermi energy	0.774	states/eV/atom
calculated density	14.03	Mg/m³
E above lowest polymorph	156	meV/atom
total magnetic moment	0.00	μB/f.u.
total energy	-3.9684	Ry per atom
space group	Pmmm
formation energy from the elements	557	meV/atom

# 6
Computed, not measured: a crystal of CaWAu2 relaxed with PBEsol at the meta-GGA SCAN level of DFT.

Lattice parameters (Å, degrees): 5.9047 5.9047 5.9047 151.03 131.13 57.81
Closest atoms and distances in Å follow each position.
Positions (direct):
Ca 0.0000 0.0000 0.0000  6 Au 2.85-3.10, 2 Ca 2.95
W 0.2783 0.7783 0.5000  6 Au 2.74-2.89, 2 W 2.95
Au 0.5014 0.5014 0.0000  2 W 2.74, 4 Au 2.84-2.95, 4 Ca 2.85
Au 0.7358 0.2358 0.5000  4 Au 2.84-2.95, 4 W 2.89, 2 Ca 3.10

Computed properties:
DOS at the Fermi energy	0.896	states/eV/atom
calculated density	13.76	Mg/m³
E above lowest polymorph	0	meV/atom
total magnetic moment	0.85	μB/f.u.
total energy	-3.9824	Ry per atom
space group	Imm2
formation energy from the elements	233	meV/atom

# 7
Computed, not measured: a crystal of CaW2Au relaxed with PBEsol at the meta-GGA SCAN level of DFT.

Lattice parameters (Å, degrees): 2.8035 2.8035 9.4303 90.00 90.00 106.56
Closest atoms and distances in Å follow each position.
Positions (direct):
Ca 0.0000 0.0000 0.0000  4 Ca 2.80, 2 Au 2.99, 2 W 3.09
W 0.0000 0.0000 0.4962  6 W 2.67-2.80, 2 Au 2.82
W 0.5000 0.5000 0.2758  6 W 2.67-2.80
Au 0.5000 0.5000 0.7370  4 Au 2.80, 2 W 2.82, 2 Ca 2.99

Computed properties:
DOS at the Fermi energy	0.831	states/eV/atom
calculated density	14.13	Mg/m³
E above lowest polymorph	0	meV/atom
total magnetic moment	0.00	μB/f.u.
total energy	-3.9798	Ry per atom
space group	Cmm2
formation energy from the elements	401	meV/atom

# 8
Computed, not measured: a crystal of CaWAu3 relaxed with PBEsol at the meta-GGA SCAN level of DFT.

Lattice parameters (Å, degrees): 4.9642 4.9642 4.9642 90.00 90.00 90.00
Closest atoms and distances in Å follow each position.
Positions (direct):
Ca 0.0000 0.0000 0.0000  6 Au 2.48
W 0.5000 0.5000 0.5000  12 Au 3.51
Au 0.0000 0.0000 0.5000  2 Ca 2.48
Au 0.0000 0.5000 0.0000  2 Ca 2.48
Au 0.5000 0.0000 0.0000  2 Ca 2.48

Computed properties:
DOS at the Fermi energy	0.405	states/eV/atom
calculated density	11.06	Mg/m³
total magnetic moment	4.08	μB/f.u.
total energy	-4.0945	Ry per atom
space group	Pm-3m
formation energy from the elements	1656	meV/atom

# 9
Computed, not measured: a crystal of CaW2Au relaxed with PBEsol at the meta-GGA SCAN level of DFT.

Lattice parameters (Å, degrees): 2.8026 5.1904 5.0050 90.00 93.55 90.00
Closest atoms and distances in Å follow each position.
Positions (direct):
Ca 0.0000 0.0000 0.0000  4 Au 2.79-2.94, 2 Ca 2.80, 4 W 3.07
W 0.3561 0.5000 0.7510  4 W 2.57-2.80
W 0.6439 0.5000 0.2490  4 W 2.57-2.80
Au 0.5000 0.0000 0.5000  4 Ca 2.79-2.94, 2 Au 2.80, 4 W 2.92

Computed properties:
DOS at the Fermi energy	0.677	states/eV/atom
calculated density	13.82	Mg/m³
E above lowest polymorph	157	meV/atom
total magnetic moment	0.00	μB/f.u.
total energy	-3.9683	Ry per atom
space group	P2/m
formation energy from the elements	558	meV/atom

# 10
Computed, not measured: a crystal of CaWAu2 relaxed with PBEsol at the meta-GGA SCAN level of DFT.

Lattice parameters (Å, degrees): 4.7359 4.7359 4.7359 60.00 60.00 60.00
Closest atoms and distances in Å follow each position.
Positions (direct):
Ca 0.0000 0.0000 0.0000  8 Au 2.90
W 0.5000 0.5000 0.5000  8 Au 2.90
Au 0.2500 0.2500 0.2500  4 W 2.90, 4 Ca 2.90
Au 0.7500 0.7500 0.7500  4 W 2.90, 4 Ca 2.90

Computed properties:
DOS at the Fermi energy	1.001	states/eV/atom
calculated density	13.66	Mg/m³
E above lowest polymorph	41	meV/atom
total magnetic moment	2.08	μB/f.u.
total energy	-3.9794	Ry per atom
space group	Fm-3m
formation energy from the elements	274	meV/atom

# 11
Computed, not measured: a crystal of Ca4WAu relaxed with PBEsol at the meta-GGA SCAN level of DFT.

Lattice parameters (Å, degrees): 6.0457 6.0457 6.0457 60.00 60.00 60.00
Closest atoms and distances in Å follow each position.
Positions (direct):
Ca 0.1250 0.1250 0.1250  6 Ca 3.02
Ca 0.1250 0.1250 0.6250  6 Ca 3.02
Ca 0.1250 0.6250 0.1250  6 Ca 3.02
Ca 0.6250 0.1250 0.1250  6 Ca 3.02
W 0.5000 0.5000 0.5000  12 Ca 3.54, 4 Au 3.70
Au 0.7500 0.7500 0.7500  12 Ca 3.54, 4 W 3.70

Computed properties:
DOS at the Fermi energy	0.424	states/eV/atom
calculated density	5.75	Mg/m³
total magnetic moment	5.02	μB/f.u.
total energy	-2.0940	Ry per atom
space group	F-43m
formation energy from the elements	1092	meV/atom

# 12
Computed, not measured: a crystal of CaW2Au relaxed with PBEsol at the meta-GGA SCAN level of DFT.

Lattice parameters (Å, degrees): 4.6265 4.6265 4.6265 60.00 60.00 60.00
Closest atoms and distances in Å follow each position.
Positions (direct):
Ca 0.0000 0.0000 0.0000  4 W 2.83, 4 Au 2.83
W 0.5000 0.5000 0.5000  4 W 2.83, 4 Au 2.83
W 0.7500 0.7500 0.7500  4 W 2.83, 4 Ca 2.83
Au 0.2500 0.2500 0.2500  4 W 2.83, 4 Ca 2.83

Computed properties:
DOS at the Fermi energy	0.829	states/eV/atom
calculated density	14.34	Mg/m³
E above lowest polymorph	216	meV/atom
total magnetic moment	0.00	μB/f.u.
total energy	-3.9640	Ry per atom
space group	F-43m
formation energy from the elements	616	meV/atom